The following is a PBEsol calculation of a relaxed BiCI2F crystal, from Alexandria.

Cell lengths 3.925, 5.223, 5.223 Å; angles 90.00, 90.00, 90.00 degrees
Element x y z (fractional)
C1 0.000 0.000 0.000
I1 0.000 0.000 0.500
I2 0.000 0.500 0.000
F1 0.500 0.000 0.000
Bi1 0.500 0.500 0.500

energy relative to the elements, uncorrected: 594.6 meV/atom
calculated density: 7.66 g/cm³
N(E_F): 0.343 states/eV per atom
SG: P4/mmm, No. 123